# 1
Compound: Cd2FeAs
Source: the Alexandria database
Functional: GGA-PBEsol
Structure: relaxed Values from VASP.

## Properties
Total magnetization = 2.8 μB per formula unit
Electronic total energy = -14.71 eV per formula unit
Fermi-level density of states = 2.8 states/eV per cell
Symmetry = F-43m
Crystal system = cubic
Energy of formation = 438 meV/atom

Structure (Quantum ESPRESSO input):
```
&SYSTEM
  ibrav = 0, nat = 4, ntyp = 3
/
ATOMIC_SPECIES
As 74.92 As.upf
Cd 112.41 Cd.upf
Fe 55.84 Fe.upf
CELL_PARAMETERS angstrom
-0.2878 -4.2193 -1.9305
3.6904 -2.8270 0.0310
0.0009 -3.7918 2.6897
ATOMIC_POSITIONS angstrom
As 1.7018 -5.4191 0.3951
Cd 0.0000 0.0000 0.0000
Cd 2.5526 -8.1286 0.5927
Fe 0.8509 -2.7095 0.1976
```


# 2
Compound: LiCuSb3
Source: the Alexandria database
Functional: GGA-PBEsol
Structure: relaxed Values from VASP.

## Properties
Total magnetization = 0.0 μB per formula unit
Formation energy without anion corrections = 0.603 eV/atom
Electronic total energy = -16.96 eV per formula unit
Fermi-level density of states = 3.2 states/eV per cell
Symmetry = Pm-3m
Crystal system = cubic

Structure (Quantum ESPRESSO input):
```
&SYSTEM
  ibrav = 0, nat = 5, ntyp = 3
/
ATOMIC_SPECIES
Sb 121.76 Sb.upf
Cu 63.55 Cu.upf
Li 6.94 Li.upf
CELL_PARAMETERS angstrom
-4.2439 -1.7593 -1.5965
1.9730 -4.4307 -0.3621
-1.3234 -0.9636 4.5798
ATOMIC_POSITIONS angstrom
Sb 0.9865 -2.2153 -0.1811
Sb -0.6617 -0.4818 2.2899
Sb -2.1219 -0.8797 -0.7983
Cu -1.7971 -3.5768 1.3106
Li 0.0000 0.0000 0.0000
```


# 3
Compound: TlCu2Se2O10
Source: the Alexandria database
Functional: GGA-PBEsol
Structure: relaxed Values from VASP.

## Properties
Total magnetization = 1.0 μB per formula unit
Formation energy without anion corrections = -0.456 eV/atom
Electronic total energy = -78.32 eV per formula unit
Fermi-level density of states = 1.1 states/eV per cell
Symmetry = C2/m
Crystal system = monoclinic

Structure (Quantum ESPRESSO input):
```
&SYSTEM
  ibrav = 0, nat = 15, ntyp = 4
/
ATOMIC_SPECIES
Tl 204.38 Tl.upf
Cu 63.55 Cu.upf
Se 78.96 Se.upf
O 16.00 O.upf
CELL_PARAMETERS angstrom
5.6239 0.0190 -0.0498
-2.3498 5.1095 0.0498
-2.0918 -2.2739 7.7113
ATOMIC_POSITIONS angstrom
Tl -2.2208 1.4178 3.8805
Cu 2.8120 0.0095 -0.0249
Cu -1.1749 2.5548 0.0249
Se 0.7391 3.1375 5.7079
Se 0.4432 -0.2830 2.0034
O -3.6676 2.3415 6.5608
O 4.8499 0.5131 1.1505
O 0.8736 3.0516 4.0855
O 0.3087 -0.1971 3.6258
O 3.0786 -0.3032 6.0622
O -0.7791 2.4445 6.1119
O -1.8962 3.1577 1.6491
O 1.9614 0.4101 1.5994
O 0.8152 -0.5204 7.3344
O 0.3671 3.3750 0.3769
```


# 4
Compound: Ca2LaFe
Source: the Alexandria database
Functional: GGA-PBEsol
Structure: relaxed Values from VASP.

## Properties
Total magnetization = 1.3 μB per formula unit
Electronic total energy = -17.35 eV per formula unit
Fermi-level density of states = 5.3 states/eV per cell
Symmetry = Immm
Crystal system = orthorhombic
Energy relative to the lowest polymorph listed for this composition = 49 meV/atom
Energy of formation = 306 meV/atom

Structure (Quantum ESPRESSO input):
```
&SYSTEM
  ibrav = 0, nat = 4, ntyp = 3
/
ATOMIC_SPECIES
Ca 40.08 Ca.upf
Fe 55.84 Fe.upf
La 138.91 La.upf
CELL_PARAMETERS angstrom
-1.5846 -1.4765 2.5637
3.7100 -0.0059 2.2897
-2.9404 8.0723 0.6349
ATOMIC_POSITIONS angstrom
Ca -0.1996 4.1869 4.4847
Ca -0.6155 2.4029 1.0035
Fe -0.7923 -0.7382 1.2818
La 1.8550 -0.0030 1.1448
```


# 5
Compound: TiCoO3
Source: the Alexandria database
Functional: GGA-PBEsol
Structure: relaxed Values from VASP.

## Properties
Total magnetization = 3.0 μB per formula unit
Formation energy without anion corrections = -2.083 eV/atom
Electronic total energy = -42.22 eV per formula unit
Fermi-level density of states = 6.8 states/eV per cell
Symmetry = R-3
Crystal system = trigonal

Structure (Quantum ESPRESSO input):
```
&SYSTEM
  ibrav = 0, nat = 10, ntyp = 3
/
ATOMIC_SPECIES
Co 58.93 Co.upf
O 16.00 O.upf
Ti 47.87 Ti.upf
CELL_PARAMETERS angstrom
-1.2324 -3.9423 -2.8000
1.7412 -4.5292 1.1641
-3.5137 -3.5576 2.1090
ATOMIC_POSITIONS angstrom
Co -3.1734 -6.3474 1.4406
Co 0.1684 -5.6817 -0.9676
O -3.4506 -5.9097 -0.5075
O -1.0878 -7.1853 -1.4419
O -1.1886 -4.2058 -0.7581
O -1.9172 -4.8438 1.9150
O 0.4456 -6.1194 0.9806
O -1.8164 -7.8234 1.2312
Ti -1.8992 -3.2360 0.9455
Ti -1.1058 -8.7932 -0.4724
```


# 6
Compound: CoAg2Au
Source: the Alexandria database
Functional: GGA-PBEsol
Structure: relaxed Values from VASP.

## Properties
Total magnetization = 1.7 μB per formula unit
Electronic total energy = -17.51 eV per formula unit
Fermi-level density of states = 3.4 states/eV per cell
Symmetry = P4mm
Crystal system = tetragonal
Energy relative to the lowest polymorph listed for this composition = 0 meV/atom
Energy of formation = 192 meV/atom

Structure (Quantum ESPRESSO input):
```
&SYSTEM
  ibrav = 0, nat = 4, ntyp = 3
/
ATOMIC_SPECIES
Co 58.93 Co.upf
Au 196.97 Au.upf
Ag 107.87 Ag.upf
CELL_PARAMETERS angstrom
-1.4565 -1.1216 2.0837
-0.3735 -2.3071 -1.5029
6.6004 -3.0164 2.9900
ATOMIC_POSITIONS angstrom
Co 4.0233 -3.9711 2.5274
Au 3.4448 -1.5743 1.5605
Ag 6.4748 -2.9590 2.9331
Ag 0.7284 -2.4654 1.0349
```